DFT (PBE) results for a geometry-optimized Er2Zn2Si3 structure.

As for the crystal system: orthorhombic. Its formation energy from raw total energies is -0.47 eV per atom. The spin magnetization comes out at 0.000 μB per formula unit.

The space group is Cmcm (No. 63) and the conventional cell measures 4.0723, 18.3366 and 6.7715 Å, with angles of 90.00, 90.00 and 90.00 degrees. The distinct sites, in fractional coordinates, are Er at (0.0000, 0.0494, 0.2500), Er at (0.0000, 0.1547, 0.7500), Zn at (0.0000, 0.3204, 0.5620), Si at (0.0000, 0.2201, 0.2500) and Si at (0.0000, 0.4423, 0.0759).